Entry from Alexandria: a relaxed structure of La6Tl3H (PBE).

Cell lengths 6.581, 8.841, 12.205 Å; angles 90.00, 118.98, 90.00 degrees
Sites, in units of the cell vectors:
La: 0.077 0.144 0.452
La: 0.077 0.356 0.952
La: 0.352 0.704 0.446
La: 0.352 0.796 0.946
La: 0.420 0.043 0.280
La: 0.420 0.457 0.780
La: 0.580 0.543 0.220
La: 0.580 0.957 0.720
La: 0.648 0.204 0.054
La: 0.648 0.296 0.554
La: 0.923 0.644 0.048
La: 0.923 0.856 0.548
Tl: 0.000 0.000 0.000
Tl: 0.000 0.500 0.500
Tl: 0.161 0.120 0.764
Tl: 0.161 0.380 0.264
Tl: 0.839 0.620 0.736
Tl: 0.839 0.880 0.236
H: 0.500 0.000 0.500
H: 0.500 0.500 0.000

Summary:
- crystal system = monoclinic
- VASP energy (eV/atom) = -4.27
- energy above the most stable polymorph in this dataset (kcal/mol of atoms) = 2.005
- magnetization (Bohr magnetons per cell) = 0.00